Here is a geometry-optimized TbCePmEu structure from Alexandria. Energies are from PBE.

Unit cell a=5.8052 b=5.8052 c=5.8052 alpha=60.00 beta=60.00 gamma=60.00
Element x y z (fractional)
Tb: 0.7500 0.7500 0.7500
Ce: 0.5000 0.5000 0.5000
Eu: 0.0000 0.0000 0.0000
Pm: 0.2500 0.2500 0.2500

Calculated values
Space group   No. 216
ΔE_f   0.233 eV/atom

---

Here is a geometry-optimized PaTiF6 structure from Alexandria. Energies are from PBE.

Unit cell a=5.1416 b=5.1416 c=5.4146 alpha=97.08 beta=97.08 gamma=115.42
Element x y z (fractional)
F: 0.2411 0.2411 0.7178
F: 0.7589 0.7589 0.2822
F: 0.1241 0.4417 0.2460
F: 0.5583 0.8759 0.7540
F: 0.4417 0.1241 0.2460
F: 0.8759 0.5583 0.7540
Ti: 0.5000 0.5000 0.5000
Pa: 0.0000 0.0000 0.0000

Calculated values
Space group   No. 12
Formation energy from raw total energies   -3362 meV per atom

---

Here is a geometry-optimized TlNiPCl2 structure from Alexandria. Energies are from PBE.

Unit cell a=5.1867 b=5.1867 c=4.2516 alpha=90.00 beta=90.00 gamma=90.00
Element x y z (fractional)
Ni: 0.0000 0.0000 0.0000
P: 0.0000 0.0000 0.5000
Cl: 0.0000 0.5000 0.0000
Cl: 0.5000 0.0000 0.0000
Tl: 0.5000 0.5000 0.5000

Calculated values
Space group   No. 123
Formation energy from raw total energies   -145 meV per atom
ΔE to the lowest computed polymorph   0.0 kJ per mole of atoms

---

Here is a geometry-optimized ErTl3Bi3S8 structure from Alexandria. Energies are from PBE.

Unit cell a=8.1680 b=8.1652 c=8.6523 alpha=118.03 beta=90.02 gamma=120.06
Element x y z (fractional)
Bi: 0.0000 0.5000 0.5000
Bi: 0.5000 0.0000 0.5000
Bi: 0.5000 0.5000 0.5000
S: 0.2533 0.0221 0.2905
S: 0.7688 0.0222 0.2905
S: 0.2314 0.4628 0.7096
S: 0.7686 0.5372 0.2904
S: 0.7467 0.9779 0.7095
S: 0.2312 0.9778 0.7095
S: 0.2600 0.5200 0.2797
S: 0.7400 0.4800 0.7203
Er: 0.0000 0.0000 0.5000
Tl: 0.5000 0.5000 0.0000
Tl: 0.0000 0.0000 0.0000
Tl: 0.0000 0.5000 0.0000

Calculated values
Space group   No. 12
Formation energy from raw total energies   -640 meV per atom

---

The records above yield N(E_F) values of 10.7, 6.0, 3.4, 6.6 states/eV/f.u., respectively.